{"formula": "Sr3SnHg2", "functional": "PBE", "state": "optimized geometry", "lattice": [[2.861, -8.644, 0.000], [2.861, 8.644, 0.000], [0.000, 0.000, 3.955]], "species": ["Sr", "Sr", "Sr", "Sn", "Hg", "Hg"], "fractional_positions": [[0.000, 0.000, 0.000], [0.333, 0.667, 0.000], [0.667, 0.333, 0.000], [0.500, 0.500, 0.500], [0.167, 0.833, 0.500], [0.833, 0.167, 0.500]], "magnetic_moment_mub_per_cell": 0.00, "sg": "No. 65", "ef_kj_per_mol_fu": -333, "vol_a3_per_cell": 195.6}